A geometry-optimized ZnInCu2Au4 structure, computed with GGA-PBE.

a b c (Å): 4.5632 4.5632 22.1182
angles (deg): 90.00 90.00 120.00
Space group R-3m (No. 166, hexagonal axes)
One atom of each set of equivalent atoms:
1 Zn 0.0000 0.0000 0.0000 x3
2 In 0.0000 0.0000 0.5000 x3
3 Cu 0.0000 0.0000 0.2480 x6
4 Au 0.0000 0.0000 0.1191 x6
5 Au 0.0000 0.0000 0.3700 x6

D(E_F): 5.83 states/eV per cell
Spin magnetization: 0.0 μB/f.u.
Calculated formation energy: -0.11 eV/atom